Record 1
{
  "formula": "Ce12Ir6Ru",
  "functional": "PBE-GGA",
  "state": "relaxed",
  "lattice_angstrom": [[6.1289, 3.5385, 4.0150], [-6.1289, 3.5385, 4.0150], [0.0000, -7.0771, 4.0150]],
  "species": ["Ce", "Ce", "Ce", "Ce", "Ce", "Ce", "Ce", "Ce", "Ce", "Ce", "Ce", "Ce", "Ir", "Ir", "Ir", "Ir", "Ir", "Ir", "Ru"],
  "fractional_positions": [[0.0349, 0.6692, 0.9354], [0.0646, 0.9651, 0.3308], [0.1821, 0.4186, 0.5844], [0.3308, 0.0646, 0.9651], [0.4155, 0.8179, 0.5814], [0.4186, 0.5844, 0.1821], [0.5814, 0.4155, 0.8179], [0.5844, 0.1821, 0.4186], [0.6692, 0.9354, 0.0349], [0.8179, 0.5814, 0.4156], [0.9354, 0.0349, 0.6692], [0.9651, 0.3308, 0.0646], [0.1298, 0.6227, 0.3143], [0.3143, 0.1298, 0.6227], [0.3773, 0.6857, 0.8702], [0.6227, 0.3143, 0.1298], [0.6857, 0.8702, 0.3773], [0.8702, 0.3773, 0.6857], [0.0000, 0.0000, 0.0000]],
  "total_energy_ev_per_atom": -7.5089,
  "formation_enthalpy_0k_mev_per_atom": -475,
  "spacegroup": "R-3 (148)"
}



Record 2
{
  "formula": "Ce8IrRu6",
  "functional": "PBE-GGA",
  "state": "relaxed",
  "lattice_angstrom": [[5.1123, 2.9516, 3.9981], [-5.1123, 2.9516, 3.9981], [0.0000, -5.9032, 3.9981]],
  "species": ["Ce", "Ce", "Ce", "Ce", "Ce", "Ce", "Ce", "Ce", "Ir", "Ru", "Ru", "Ru", "Ru", "Ru", "Ru"],
  "fractional_positions": [[0.0665, 0.3689, 0.7220], [0.2129, 0.2129, 0.2129], [0.2780, 0.9335, 0.6311], [0.3689, 0.7220, 0.0665], [0.6311, 0.2780, 0.9335], [0.7220, 0.0665, 0.3689], [0.7871, 0.7871, 0.7871], [0.9335, 0.6311, 0.2780], [0.0000, 0.0000, 0.0000], [0.2431, 0.5745, 0.3922], [0.3922, 0.2431, 0.5745], [0.4255, 0.6078, 0.7569], [0.5745, 0.3922, 0.2431], [0.6078, 0.7569, 0.4255], [0.7569, 0.4255, 0.6078]],
  "total_energy_ev_per_atom": -7.7609,
  "formation_enthalpy_0k_mev_per_atom": -295,
  "spacegroup": "R-3 (148)"
}



Record 3
{
  "formula": "Ce6IrRu",
  "functional": "PBE-GGA",
  "state": "relaxed",
  "lattice_angstrom": [[6.4721, 0.0000, 0.0000], [3.2324, 5.6093, 0.0000], [3.2259, 1.8630, 6.4829]],
  "species": ["Ce", "Ce", "Ce", "Ce", "Ce", "Ce", "Ir", "Ru"],
  "fractional_positions": [[0.0560, 0.4390, 0.2528], [0.2479, 0.9447, 0.7475], [0.4400, 0.7521, 0.2530], [0.5600, 0.2479, 0.7470], [0.7521, 0.0553, 0.2525], [0.9440, 0.5610, 0.7472], [0.5000, 0.5000, 0.0000], [0.0000, 0.0000, 0.5000]],
  "total_energy_ev_per_atom": -6.8465,
  "formation_enthalpy_0k_mev_per_atom": -129,
  "spacegroup": "P-1 (2)"
}